# 1
GdNiSnPt: optimized geometry, GGA-PBE.

Lattice parameters (Å, degrees): 4.7554 4.7554 4.7554 60.00 60.00 60.00
Fractional coordinates of all 4 atoms:
Gd  0.0000  0.0000  0.0000
Pt  0.7500  0.7500  0.7500
Ni  0.2500  0.2500  0.2500
Sn  0.5000  0.5000  0.5000

Summary:
- mass density (kg/m³) = 11568
- energy of formation from the pure elements (meV per atom) = -650
- magnetic moment (μB per formula unit) = 7.1
- Fermi-level density of states (states/eV per cell) = 2.8
- total energy (eV/cell) = -32.506
- symmetry = F-43m (216)



# 2
TmMg4Sn: optimized geometry, GGA-PBE.

Lattice parameters (Å, degrees): 5.9309 5.9309 5.9309 60.00 60.00 60.00
Fractional coordinates of all 6 atoms:
Mg  0.6250  0.6250  0.6250
Mg  0.6250  0.1250  0.6250
Mg  0.6250  0.6250  0.1250
Mg  0.1250  0.6250  0.6250
Tm  0.0000  0.0000  0.0000
Sn  0.2500  0.2500  0.2500

Summary:
- mass density (kg/m³) = 4332
- energy of formation from the pure elements (meV per atom) = -24
- magnetic moment (μB per formula unit) = 0.0
- Fermi-level density of states (states/eV per cell) = 3.3
- total energy (eV/cell) = -14.994
- symmetry = F-43m (216)



# 3
GePN: optimized geometry, GGA-PBE.

Lattice parameters (Å, degrees): 6.0325 2.9462 5.1815 90.00 90.40 90.00
Fractional coordinates of all 6 atoms:
N  0.6118  0.5000  0.2296
N  0.6118  0.0000  0.7296
P  0.3302  0.0000  0.7281
P  0.3302  0.5000  0.2281
Ge  0.8007  0.0000  0.3991
Ge  0.8007  0.5000  0.8991

Summary:
- offset from the most stable computed form (meV/atom) = 212
- mass density (kg/m³) = 4242
- magnetic moment (μB per formula unit) = 0.0
- Fermi-level density of states (states/eV per cell) = 1.5
- energy relative to the elements, uncorrected (meV per atom) = 307
- total energy (eV/cell) = -34.864
- symmetry = Cm (8)



# 4
KCaSb2: optimized geometry, GGA-PBE.

Lattice parameters (Å, degrees): 6.0174 6.0174 3.4238 90.00 90.00 90.00
Fractional coordinates of all 4 atoms:
Ca  0.5000  0.0000  0.5000
Sb  0.0000  0.0000  0.0000
Sb  0.5000  0.5000  0.0000
K  0.0000  0.5000  0.5000

Summary:
- offset from the most stable computed form (meV/atom) = 205
- mass density (kg/m³) = 4322
- magnetic moment (μB per formula unit) = 0.0
- Fermi-level density of states (states/eV per cell) = 2.9
- energy relative to the elements, uncorrected (meV per atom) = -435
- total energy (eV/cell) = -13.083
- symmetry = P4/mmm (123)



# 5
Mg5Cu: optimized geometry, GGA-PBE.

Lattice parameters (Å, degrees): 5.6777 5.6777 5.6777 60.00 60.00 60.00
Fractional coordinates of all 6 atoms:
Mg  0.3746  0.3746  0.3746
Mg  0.3746  0.8762  0.3746
Mg  0.7500  0.7500  0.7500
Mg  0.8762  0.3746  0.3746
Mg  0.3746  0.3746  0.8762
Cu  0.0000  0.0000  0.0000

Summary:
- offset from the most stable computed form (meV/atom) = 246
- mass density (kg/m³) = 2375
- energy of formation from the pure elements (meV per atom) = 234
- magnetic moment (μB per formula unit) = 0.0
- Fermi-level density of states (states/eV per cell) = 1.5
- total energy (eV/cell) = -10.666
- symmetry = F-43m (216)



# 6
LiMgMnP2: optimized geometry, GGA-PBE.

Lattice parameters (Å, degrees): 4.6963 4.2905 4.6963 90.00 90.00 90.00
Fractional coordinates of all 5 atoms:
Mn  0.5000  0.5000  0.5000
P  0.5000  0.0000  0.0000
P  0.0000  0.0000  0.5000
Mg  0.0000  0.0000  0.0000
Li  0.0000  0.5000  0.0000

Summary:
- offset from the most stable computed form (meV/atom) = 10
- mass density (kg/m³) = 2599
- energy of formation from the pure elements (meV per atom) = 1165
- magnetic moment (μB per formula unit) = 0.4
- Fermi-level density of states (states/eV per cell) = 5.5
- total energy (eV/cell) = -17.672
- symmetry = P4/mmm (123)



# 7
TmScIrRu: optimized geometry, GGA-PBE.

Lattice parameters (Å, degrees): 4.6554 4.6554 4.6554 60.00 60.00 60.00
Fractional coordinates of all 4 atoms:
Sc  0.0000  0.0000  0.0000
Ir  0.2500  0.2500  0.2500
Tm  0.5000  0.5000  0.5000
Ru  0.7500  0.7500  0.7500

Summary:
- offset from the most stable computed form (meV/atom) = 0
- mass density (kg/m³) = 11805
- energy of formation from the pure elements (meV per atom) = -759
- magnetic moment (μB per formula unit) = 0.0
- Fermi-level density of states (states/eV per cell) = 2.2
- total energy (eV/cell) = -31.975
- symmetry = F-43m (216)



# 8
Sn2HgPb2: optimized geometry, GGA-PBE.

Lattice parameters (Å, degrees): 5.5115 5.5115 6.8273 66.19 66.19 90.00
Fractional coordinates of all 5 atoms:
Sn  0.6259  0.6259  0.7483
Sn  0.3741  0.3741  0.2517
Pb  0.2500  0.7500  0.5000
Pb  0.7500  0.2500  0.5000
Hg  0.0000  0.0000  0.0000

Summary:
- offset from the most stable computed form (meV/atom) = 82
- mass density (kg/m³) = 8313
- energy of formation from the pure elements (meV per atom) = 135
- magnetic moment (μB per formula unit) = 0.0
- Fermi-level density of states (states/eV per cell) = 2.7
- total energy (eV/cell) = -15.049
- symmetry = I4/mmm (139)



# 9
LaPmPr3Ho: optimized geometry, GGA-PBE.

Lattice parameters (Å, degrees): 5.2278 8.1995 11.0228 116.36 90.00 90.00
Fractional coordinates of all 12 atoms:
Pr  0.7500  0.3741  0.5438
Pr  0.7500  0.8694  0.0413
Pr  0.7500  0.3775  0.2064
Pr  0.2500  0.6225  0.7936
Pr  0.2500  0.6259  0.4562
Pr  0.2500  0.1306  0.9587
Pm  0.7500  0.8729  0.3731
Pm  0.2500  0.1271  0.6269
La  0.7500  0.8783  0.7090
La  0.2500  0.1217  0.2910
Ho  0.7500  0.3787  0.8768
Ho  0.2500  0.6213  0.1232

Summary:
- mass density (kg/m³) = 6837
- energy of formation from the pure elements (meV per atom) = 19
- magnetic moment (μB per formula unit) = 0.0
- Fermi-level density of states (states/eV per cell) = 19.6
- total energy (eV/cell) = -56.956
- symmetry = P2_1/m (11)



# 10
Li4Mg2Hg: optimized geometry, GGA-PBE.

Lattice parameters (Å, degrees): 4.8593 5.4083 6.4155 114.93 90.00 90.00
Fractional coordinates of all 7 atoms:
Mg  0.5000  0.8729  0.7457
Mg  0.5000  0.1271  0.2543
Hg  0.0000  0.5000  0.0000
Li  0.5000  0.6196  0.2392
Li  0.5000  0.3804  0.7608
Li  0.0000  0.7390  0.4781
Li  0.0000  0.2610  0.5219

Summary:
- offset from the most stable computed form (meV/atom) = 213
- mass density (kg/m³) = 3008
- energy of formation from the pure elements (meV per atom) = 78
- magnetic moment (μB per formula unit) = 0.0
- Fermi-level density of states (states/eV per cell) = 3.4
- total energy (eV/cell) = -10.602
- symmetry = Cmmm (65)



# 11
ZrMo2As: optimized geometry, GGA-PBE.

Lattice parameters (Å, degrees): 2.9768 2.9768 8.4578 90.00 90.00 111.01
Fractional coordinates of all 4 atoms:
As  0.5000  0.5000  0.7500
Zr  0.5000  0.5000  0.2500
Mo  0.0000  0.0000  0.5218
Mo  0.0000  0.0000  0.9782

Summary:
- mass density (kg/m³) = 8497
- energy of formation from the pure elements (meV per atom) = 87
- magnetic moment (μB per formula unit) = 0.0
- Fermi-level density of states (states/eV per cell) = 2.4
- total energy (eV/cell) = -34.513
- symmetry = Cmmm (65)



# 12
SiBr2F: optimized geometry, GGA-PBE.

Lattice parameters (Å, degrees): 13.5215 3.4503 4.9908 90.00 90.00 90.00
Fractional coordinates of all 8 atoms:
Br  0.6351  0.5000  0.1475
Br  0.1351  0.0000  0.6475
Br  0.3649  0.5000  0.1475
Br  0.8649  0.0000  0.6475
F  0.0000  0.5000  0.2562
F  0.5000  0.0000  0.7562
Si  0.5000  0.0000  0.0829
Si  0.0000  0.5000  0.5829

Summary:
- offset from the most stable computed form (meV/atom) = 336
- mass density (kg/m³) = 2951
- magnetic moment (μB per formula unit) = 0.0
- Fermi-level density of states (states/eV per cell) = 1.4
- energy relative to the elements, uncorrected (meV per atom) = -1119
- total energy (eV/cell) = -30.231
- symmetry = Imm2 (44)